(1)
The following is a DFT calculation (meta-GGA SCAN) of NaCuBi2Mo at its PBEsol-relaxed geometry.

```
NaCuBi2Mo
1.0
5.184 0.000 0.000
0.000 5.184 0.000
0.000 0.000 4.916
Na Cu Bi Mo
1 1 2 1
Direct
0.000 0.000 0.000
0.500 0.500 0.500
0.000 0.500 0.500
0.500 0.000 0.500
0.500 0.500 0.000
```

Output
Formation enthalpy at 0 K (eV per atom): 0.7336

=====

(2)
The following is a DFT calculation (meta-GGA SCAN) of CuBiMoO2 at its PBEsol-relaxed geometry.

```
CuBiMoO2
1.0
4.107 0.000 0.000
0.000 4.107 0.000
0.000 0.000 5.747
Cu Bi Mo O
1 1 1 2
Direct
0.000 0.000 0.000
0.500 0.500 0.500
0.500 0.500 0.000
0.000 0.500 0.500
0.500 0.000 0.500
```

Output
ΔE_f (raw) (kcal/mol of atoms): 21.7

=====

(3)
The following is a DFT calculation (meta-GGA SCAN) of CuBiN3 at its PBEsol-relaxed geometry.

```
CuBiN3
1.0
3.862 0.000 0.000
0.000 3.862 0.000
0.000 0.000 3.862
Cu Bi N
1 1 3
Direct
0.000 0.000 0.000
0.500 0.500 0.500
0.000 0.000 0.500
0.000 0.500 0.000
0.500 0.000 0.000
```

Output
ΔE_f (raw) (kcal/mol of atoms): 36.5

=====

(4)
The following is a DFT calculation (meta-GGA SCAN) of CuBiN2 at its PBEsol-relaxed geometry.

```
CuBiN2
1.0
1.577 0.911 6.346
-1.577 0.911 6.346
0.000 -1.821 6.346
Cu Bi N
1 1 2
Direct
0.000 0.000 0.000
0.500 0.500 0.500
0.378 0.378 0.378
0.622 0.622 0.622
```

Output
ΔE_f (raw) (kcal/mol of atoms): 26.0

=====

(5)
The following is a DFT calculation (meta-GGA SCAN) of CuBiSN2 at its PBEsol-relaxed geometry.

```
CuBiSN2
1.0
3.935 0.000 0.000
0.000 3.935 0.000
0.000 0.000 4.543
Cu Bi S N
1 1 1 2
Direct
0.000 0.000 0.000
0.500 0.500 0.500
0.000 0.000 0.500
0.000 0.500 0.000
0.500 0.000 0.000
```

Output
ΔE_f (raw) (kcal/mol of atoms): 28.5

=====

(6)
The following is a DFT calculation (meta-GGA SCAN) of Na2CuBiOs at its PBEsol-relaxed geometry.

```
Na2CuBiOs
1.0
5.798 0.000 0.000
0.000 5.798 0.000
0.000 0.000 4.782
Na Cu Bi Os
2 1 1 1
Direct
0.000 0.500 0.000
0.500 0.000 0.000
0.000 0.000 0.500
0.000 0.000 0.000
0.500 0.500 0.500
```

Output
Formation enthalpy at 0 K (eV per atom): 1.4698

=====

| no. | VASP energy (eV/atom) |
| --- | --- |
| 1 | -41.56 |
| 2 | -27.28 |
| 3 | -22.75 |
| 4 | -26.96 |
| 5 | -23.16 |
| 6 | -33.35 |